Ac5YSb6 | PBE | optimized geometry

Results
Fermi-level density of states   1.12 states/eV per cell
SG   C2/m (12)
Formation energy from raw total energies   -1188 meV per atom

abc: 8.206 8.206 8.209
angles: 99.62 99.62 119.97
Atoms (fractional coordinates):
Sb: 0.080 0.402 0.241
Sb: 0.920 0.598 0.759
Sb: 0.761 0.761 0.245
Sb: 0.239 0.239 0.755
Sb: 0.402 0.080 0.241
Sb: 0.598 0.920 0.759
Ac: 0.666 0.334 0.000
Ac: 0.830 0.170 0.500
Ac: 0.500 0.500 0.500
Ac: 0.334 0.666 0.000
Ac: 0.170 0.830 0.500
Y: 0.000 0.000 0.000